Material: HoSn3
Method: DFT, PBE-GGA
State: optimized geometry

calculated formation energy	-1.46	eV/f.u.
mass density	8.0	g/cm3
D(E_F)	2.74	states/eV per cell
magnetic moment	0.00	μB per cell

```
HoSn3
1.0
4.403 0.000 0.000
0.000 2.209 11.100
0.000 -2.209 11.100
Ho Sn
2 6
Cartesian
0.000 0.000 0.000
2.201 0.000 6.024
0.000 0.000 8.512
0.000 0.000 13.659
0.000 0.000 16.664
2.201 0.000 2.709
2.201 0.000 11.253
2.201 0.000 19.629
```